## 1
Material: Y3NbIr
Method: DFT, PBE
State: relaxed

As for the space-group type: Pm-3m, No. 221. Its volume is 140.8 Å³ per cell.

Lattice parameters (Å, degrees): 5.2022 5.2022 5.2022 90.00 90.00 90.00
With the nearest neighbours (Å) after each atom.
Fractional coordinates of all 5 atoms:
Y 0.0000 0.0000 0.5000  2 Nb 2.60
Y 0.0000 0.5000 0.0000  2 Nb 2.60
Y 0.5000 0.0000 0.0000  2 Nb 2.60
Nb 0.0000 0.0000 0.0000  6 Y 2.60
Ir 0.5000 0.5000 0.5000  12 Y 3.68

***

## 2
Material: Y3NbIr
Method: DFT, PBE
State: relaxed

As for the space-group type: Pm-3m, No. 221. Its volume is 152.9 Å³ per cell.

Lattice parameters (Å, degrees): 5.3470 5.3470 5.3470 90.00 90.00 90.00
With the nearest neighbours (Å) after each atom.
Fractional coordinates of all 5 atoms:
Y 0.0000 0.0000 0.5000  2 Ir 2.67
Y 0.0000 0.5000 0.0000  2 Ir 2.67
Y 0.5000 0.0000 0.0000  2 Ir 2.67
Nb 0.5000 0.5000 0.5000  12 Y 3.78
Ir 0.0000 0.0000 0.0000  6 Y 2.67

***

Stability check: which of them is least stable? 1.